VASP calculation (PBE) on an optimized crystal structure of Ga2Ag2P.

Unit cell a=7.765 b=7.765 c=3.045 alpha=90.00 beta=90.00 gamma=90.00
Fractional coordinates of all 10 atoms:
P (0.500, 0.500, 0.000)
P (0.000, 0.000, 0.000)
Ag (0.368, 0.868, 0.000)
Ag (0.132, 0.368, 0.000)
Ag (0.632, 0.132, 0.000)
Ag (0.868, 0.632, 0.000)
Ga (0.330, 0.170, 0.500)
Ga (0.170, 0.670, 0.500)
Ga (0.670, 0.830, 0.500)
Ga (0.830, 0.330, 0.500)

Results
energy above the lowest structure with this stoichiometry: 0.00 eV/f.u.
magnetic moment: 0.000 Bohr magnetons per cell
space-group type: P4/mbm, No. 127